# 1
Entry from Alexandria: a relaxed LiP2PtO crystal (PBE-GGA).

Computed properties:
Energy relative to the lowest polymorph listed for this composition   130.1 meV per atom
E   -0.3170 Ry/atom
Space-group type   No. 123

a b c (Å): 4.5666 4.5666 3.2100
angles (deg): 90.00 90.00 90.00
With the nearest neighbours (Å) after each atom.
Positions (direct):
1 P 0.0000 0.5000 0.0000  2 Li 2.28
2 P 0.5000 0.0000 0.0000  2 Li 2.28
3 O 0.0000 0.0000 0.5000  2 Li 1.61
4 Pt 0.5000 0.5000 0.5000  8 P 2.79
5 Li 0.0000 0.0000 0.0000  2 O 1.61


# 2
Entry from Alexandria: a relaxed ZrPaMoIr crystal (PBE-GGA).

Computed properties:
ΔE_f   -0.364 eV/atom
E   -0.7201 Ry/atom
Space-group type   No. 216

a b c (Å): 4.8008 4.8008 4.8008
angles (deg): 60.00 60.00 60.00
With the nearest neighbours (Å) after each atom.
Positions (direct):
1 Mo 0.5000 0.5000 0.5000  4 Pa 2.94, 4 Zr 2.94
2 Pa 0.7500 0.7500 0.7500  4 Mo 2.94, 4 Ir 2.94
3 Zr 0.2500 0.2500 0.2500  4 Mo 2.94, 4 Ir 2.94
4 Ir 0.0000 0.0000 0.0000  4 Zr 2.94, 4 Pa 2.94


# 3
Entry from Alexandria: a relaxed BaSiP6Pt2 crystal (PBE-GGA).

Computed properties:
E   -0.3924 Ry/atom
Space-group type   No. 166

a b c (Å): 6.0445 6.0445 8.6482
angles (deg): 69.55 69.55 60.00
With the nearest neighbours (Å) after each atom.
Positions (direct):
1 Ba 0.0000 0.0000 0.0000  12 P 3.67-3.68, 6 Pt 3.77
2 Si 0.5000 0.5000 0.5000  6 P 2.32
3 P 0.1668 0.5457 0.7413  1 Pt 2.25, 2 P 2.29, 1 Si 2.32
4 P 0.5462 0.1668 0.7413  1 Pt 2.25, 2 P 2.29, 1 Si 2.32
5 P 0.4543 0.4538 0.2587  1 Pt 2.25, 2 P 2.29, 1 Si 2.32
6 P 0.8332 0.4543 0.2587  1 Pt 2.25, 2 P 2.29, 1 Si 2.32
7 P 0.4538 0.8332 0.2587  1 Pt 2.25, 2 P 2.29, 1 Si 2.32
8 P 0.5457 0.5462 0.7413  1 Pt 2.25, 2 P 2.29, 1 Si 2.32
9 Pt 0.7270 0.7270 0.8189  3 P 2.25
10 Pt 0.2730 0.2730 0.1811  3 P 2.25


# 4
Entry from Alexandria: a relaxed TaP2Os crystal (PBE-GGA).

Computed properties:
Energy relative to the lowest polymorph listed for this composition   200.3 meV per atom
ΔE_f   -0.117 eV/atom
E   -0.6315 Ry/atom
Space-group type   No. 99

a b c (Å): 2.9005 2.9005 8.0475
angles (deg): 90.00 90.00 90.02
With the nearest neighbours (Å) after each atom.
Positions (direct):
1 Os 0.5000 0.5000 0.7635  4 P 2.43
2 P 0.0000 0.0000 0.9263  4 Os 2.43
3 P 0.5000 0.5000 0.2950  4 Ta 2.71, 4 P 2.90
4 Ta 0.0000 0.0000 0.5153  4 P 2.71, 4 Os 2.86, 4 Ta 2.90


# 5
Entry from Alexandria: a relaxed Rb2HfMnAl crystal (PBE-GGA).

Computed properties:
ΔE_f   1.565 eV/atom
E   -0.2495 Ry/atom
Space-group type   No. 123

a b c (Å): 7.0944 5.2565 7.0944
angles (deg): 90.00 90.00 90.00
With the nearest neighbours (Å) after each atom.
Positions (direct):
1 Mn 0.5000 0.5000 0.5000  8 Rb 4.41
2 Hf 0.0000 0.0000 0.0000  2 Al 2.63
3 Al 0.0000 0.5000 0.0000  2 Hf 2.63
4 Rb 0.0000 0.0000 0.5000  2 Hf 3.55
5 Rb 0.5000 0.0000 0.0000  2 Hf 3.55


# 6
Entry from Alexandria: a relaxed Mo3Ru crystal (PBE-GGA).

Computed properties:
ΔE_f   0.219 eV/atom
E   -0.7514 Ry/atom
Space-group type   No. 65

a b c (Å): 4.7513 4.7513 2.8537
angles (deg): 90.00 90.00 106.21
With the nearest neighbours (Å) after each atom.
Positions (direct):
1 Mo 0.0000 0.0000 0.0000  10 Mo 2.77-2.85, 2 Ru 2.85
2 Mo 0.0000 0.5000 0.5000  8 Mo 2.77-2.85, 4 Ru 2.77
3 Mo 0.5000 0.0000 0.5000  4 Ru 2.77, 8 Mo 2.77-2.85
4 Ru 0.5000 0.5000 0.0000  10 Mo 2.77-2.85, 2 Ru 2.85


# 7
Entry from Alexandria: a relaxed Sm3Mg2Al7 crystal (PBE-GGA).

Computed properties:
ΔE_f   -0.366 eV/atom
E   -0.2936 Ry/atom
Space-group type   No. 166

a b c (Å): 5.6744 5.6744 9.6275
angles (deg): 72.86 72.86 60.00
With the nearest neighbours (Å) after each atom.
Positions (direct):
1 Sm 0.0000 0.0000 0.0000  6 Mg 3.28
2 Sm 0.8587 0.8587 0.4238  12 Al 3.21-3.35, 3 Sm 3.55
3 Sm 0.1413 0.1413 0.5762  12 Al 3.21-3.35, 3 Sm 3.55
4 Mg 0.6653 0.6653 0.0040  6 Al 2.84-2.87
5 Mg 0.3347 0.3347 0.9960  6 Al 2.84-2.87
6 Al 0.5000 0.5000 0.5000  6 Al 2.75
7 Al 0.9193 0.4112 0.2584  5 Al 2.75-2.88, 2 Mg 2.84-2.87
8 Al 0.4112 0.9193 0.2584  5 Al 2.75-2.88, 2 Mg 2.84-2.87
9 Al 0.4112 0.4112 0.2584  5 Al 2.75-2.88, 2 Mg 2.84-2.87
10 Al 0.0807 0.5888 0.7416  5 Al 2.75-2.88, 2 Mg 2.84-2.87
11 Al 0.5888 0.5888 0.7416  5 Al 2.75-2.88, 2 Mg 2.84-2.87
12 Al 0.5888 0.0807 0.7416  5 Al 2.75-2.88, 2 Mg 2.84-2.87


# 8
Entry from Alexandria: a relaxed ZrRe2Tc crystal (PBE-GGA).

Computed properties:
Energy relative to the lowest polymorph listed for this composition   243.4 meV per atom
ΔE_f   0.177 eV/atom
E   -0.7920 Ry/atom
Space-group type   No. 166

a b c (Å): 9.7806 9.7806 9.7806
angles (deg): 16.46 16.46 16.46
With the nearest neighbours (Å) after each atom.
Positions (direct):
1 Re 0.9925 0.9925 0.9925  3 Tc 2.73, 6 Re 2.80
2 Re 0.5075 0.5075 0.5075  3 Tc 2.73, 6 Re 2.80
3 Tc 0.2500 0.2500 0.2500  6 Re 2.73, 6 Tc 2.80
4 Zr 0.7500 0.7500 0.7500  6 Zr 2.80, 6 Re 3.08


# 9
Entry from Alexandria: a relaxed Er10In3Te3 crystal (PBE-GGA).

Computed properties:
E   -0.3401 Ry/atom
Space-group type   No. 189

a b c (Å): 6.3570 8.9229 8.9229
angles (deg): 120.00 90.00 90.00
With the nearest neighbours (Å) after each atom.
Positions (direct):
1 Er 0.2516 0.6667 0.3333  2 Er 3.16-3.20, 3 In 3.17, 3 Te 3.19
2 Er 0.2516 0.3333 0.6667  2 Er 3.16-3.20, 3 In 3.17, 3 Te 3.19
3 Er 0.7484 0.3333 0.6667  2 Er 3.16-3.20, 3 In 3.17, 3 Te 3.19
4 Er 0.7484 0.6667 0.3333  2 Er 3.16-3.20, 3 In 3.17, 3 Te 3.19
5 Er 0.5000 0.0000 0.7630  3 In 3.06-3.30
6 Er 0.5000 0.7630 0.0000  3 In 3.06-3.30
7 Er 0.5000 0.2370 0.2370  3 In 3.06-3.30
8 Er 0.0000 0.0000 0.2415  3 Te 3.03-3.30
9 Er 0.0000 0.2415 0.0000  3 Te 3.03-3.30
10 Er 0.0000 0.7585 0.7585  3 Te 3.03-3.30
11 In 0.5000 0.0000 0.3930  7 Er 3.06-3.30
12 In 0.5000 0.3930 0.0000  7 Er 3.06-3.30
13 In 0.5000 0.6070 0.6070  7 Er 3.06-3.30
14 Te 0.0000 0.0000 0.6110  7 Er 3.03-3.30
15 Te 0.0000 0.6110 0.0000  7 Er 3.03-3.30
16 Te 0.0000 0.3890 0.3890  7 Er 3.03-3.30


# 10
Entry from Alexandria: a relaxed Sr2FePb crystal (PBE-GGA).

Computed properties:
ΔE_f   0.084 eV/atom
E   -0.2793 Ry/atom
Space-group type   No. 38

a b c (Å): 4.5250 4.9724 6.4919
angles (deg): 67.49 90.00 90.00
With the nearest neighbours (Å) after each atom.
Positions (direct):
1 Fe 0.0000 0.6868 0.5010  2 Pb 2.70
2 Pb 0.5000 0.5646 0.7459  2 Fe 2.70
3 Sr 0.0000 0.9802 0.9145  4 Pb 3.51, 3 Fe 3.51-3.52
4 Sr 0.5000 0.2684 0.3386  3 Pb 3.48-3.55, 4 Fe 3.50


# 11
Entry from Alexandria: a relaxed LaPu2Os crystal (PBE-GGA).

Computed properties:
Energy relative to the lowest polymorph listed for this composition   72.6 meV per atom
ΔE_f   0.090 eV/atom
E   -0.8169 Ry/atom
Space-group type   No. 123

a b c (Å): 3.5675 3.5675 7.6711
angles (deg): 90.00 90.00 90.00
With the nearest neighbours (Å) after each atom.
Positions (direct):
1 La 0.5000 0.5000 0.5000  8 Pu 3.43, 4 La 3.57, 2 Os 3.84
2 Os 0.5000 0.5000 0.0000  8 Pu 2.94
3 Pu 0.0000 0.0000 0.8038  4 Os 2.94, 1 Pu 3.01
4 Pu 0.0000 0.0000 0.1962  4 Os 2.94, 1 Pu 3.01


# 12
Entry from Alexandria: a relaxed CsSrBi crystal (PBE-GGA).

Computed properties:
ΔE_f   -0.688 eV/atom
E   -0.2077 Ry/atom
Space-group type   No. 62

a b c (Å): 10.0471 5.7698 9.8325
angles (deg): 90.00 90.00 90.00
With the nearest neighbours (Å) after each atom.
Positions (direct):
1 Cs 0.9901 0.2500 0.8381  5 Bi 3.99-4.30, 4 Sr 4.16-4.36, 2 Cs 4.30
2 Cs 0.5099 0.7500 0.3381  5 Bi 3.99-4.30, 4 Sr 4.16-4.36, 2 Cs 4.30
3 Cs 0.0099 0.7500 0.1619  5 Bi 3.99-4.30, 4 Sr 4.16-4.36, 2 Cs 4.30
4 Cs 0.4901 0.2500 0.6619  5 Bi 3.99-4.30, 4 Sr 4.16-4.36, 2 Cs 4.30
5 Sr 0.8565 0.2500 0.4238  4 Bi 3.43-3.47
6 Sr 0.6435 0.7500 0.9238  4 Bi 3.43-3.47
7 Sr 0.1435 0.7500 0.5762  4 Bi 3.43-3.47
8 Sr 0.3565 0.2500 0.0762  4 Bi 3.43-3.47
9 Bi 0.1964 0.2500 0.3886  4 Sr 3.43-3.47
10 Bi 0.3036 0.7500 0.8886  4 Sr 3.43-3.47
11 Bi 0.8036 0.7500 0.6114  4 Sr 3.43-3.47
12 Bi 0.6964 0.2500 0.1114  4 Sr 3.43-3.47


# 13
Entry from Alexandria: a relaxed Li3Tc crystal (PBE-GGA).

Computed properties:
Energy relative to the lowest polymorph listed for this composition   450.9 meV per atom
ΔE_f   0.609 eV/atom
E   -0.2512 Ry/atom
Space-group type   No. 221

a b c (Å): 3.8512 3.8512 3.8512
angles (deg): 90.00 90.00 90.00
With the nearest neighbours (Å) after each atom.
Positions (direct):
1 Li 0.0000 0.5000 0.5000  8 Li 2.72, 4 Tc 2.72
2 Li 0.5000 0.0000 0.5000  8 Li 2.72, 4 Tc 2.72
3 Li 0.5000 0.5000 0.0000  8 Li 2.72, 4 Tc 2.72
4 Tc 0.0000 0.0000 0.0000  12 Li 2.72


# 14
Entry from Alexandria: a relaxed CrTc crystal (PBE-GGA).

Computed properties:
ΔE_f   0.133 eV/atom
E   -0.7248 Ry/atom
Space-group type   No. 227

a b c (Å): 4.2211 4.2211 4.2211
angles (deg): 60.00 60.00 60.00
With the nearest neighbours (Å) after each atom.
Positions (direct):
1 Cr 0.0000 0.0000 0.0000  4 Cr 2.58, 4 Tc 2.58
2 Cr 0.7500 0.7500 0.7500  4 Tc 2.58, 4 Cr 2.58
3 Tc 0.2500 0.2500 0.2500  4 Tc 2.58, 4 Cr 2.58
4 Tc 0.5000 0.5000 0.5000  4 Cr 2.58, 4 Tc 2.58


# 15
Entry from Alexandria: a relaxed CuAs3Cl crystal (PBE-GGA).

Computed properties:
Energy relative to the lowest polymorph listed for this composition   633.5 meV per atom
E   -0.1967 Ry/atom
Space-group type   No. 221

a b c (Å): 4.8550 4.8550 4.8550
angles (deg): 90.00 90.00 90.00
With the nearest neighbours (Å) after each atom.
Positions (direct):
1 As 0.0000 0.5000 0.0000  2 Cl 2.43
2 As 0.0000 0.0000 0.5000  2 Cl 2.43
3 As 0.5000 0.0000 0.0000  2 Cl 2.43
4 Cu 0.5000 0.5000 0.5000  12 As 3.43
5 Cl 0.0000 0.0000 0.0000  6 As 2.43


# 16
Entry from Alexandria: a relaxed Ho4MgZn2Ga crystal (PBE-GGA).

Computed properties:
ΔE_f   -0.335 eV/atom
E   -0.2588 Ry/atom
Space-group type   No. 166

a b c (Å): 5.0915 5.0915 8.8614
angles (deg): 73.30 73.30 60.00
With the nearest neighbours (Å) after each atom.
Positions (direct):
1 Ho 0.3800 0.3800 0.8600  1 Ga 3.01, 4 Zn 3.02-3.05, 3 Mg 3.16
2 Ho 0.8711 0.8711 0.3866  3 Ga 3.09, 1 Mg 3.23, 4 Zn 3.24-3.25
3 Ho 0.1289 0.1289 0.6134  3 Ga 3.09, 1 Mg 3.23, 4 Zn 3.24-3.25
4 Ho 0.6200 0.6200 0.1400  1 Ga 3.01, 4 Zn 3.02-3.05, 3 Mg 3.16
5 Mg 0.0000 0.0000 0.0000  8 Ho 3.16-3.23, 6 Zn 3.49
6 Zn 0.7416 0.7416 0.7753  8 Ho 3.02-3.25
7 Zn 0.2584 0.2584 0.2247  8 Ho 3.02-3.25
8 Ga 0.5000 0.5000 0.5000  8 Ho 3.01-3.09


# 17
Entry from Alexandria: a relaxed Y4Tc crystal (PBE-GGA).

Computed properties:
Energy relative to the lowest polymorph listed for this composition   0.0 meV per atom
ΔE_f   0.058 eV/atom
E   -0.5282 Ry/atom
Space-group type   No. 13

a b c (Å): 6.2566 6.4534 7.7104
angles (deg): 90.00 90.00 108.23
With the nearest neighbours (Å) after each atom.
Positions (direct):
1 Y 0.9868 0.2426 0.3857  1 Tc 2.69
2 Y 0.5236 0.7307 0.8581  2 Tc 2.77-2.80
3 Y 0.4764 0.2693 0.1419  2 Tc 2.77-2.80
4 Y 0.0132 0.7574 0.6143  1 Tc 2.69
5 Y 0.9764 0.2693 0.8581  2 Tc 2.77-2.80
6 Y 0.4868 0.2426 0.6143  1 Tc 2.69
7 Y 0.5132 0.7574 0.3857  1 Tc 2.69
8 Y 0.0236 0.7307 0.1419  2 Tc 2.77-2.80
9 Tc 0.2500 0.0000 0.8757  6 Y 2.69-2.80
10 Tc 0.7500 0.0000 0.1243  6 Y 2.69-2.80


# 18
Entry from Alexandria: a relaxed TeAsCl crystal (PBE-GGA).

Computed properties:
E   -0.2314 Ry/atom
Space-group type   No. 216

a b c (Å): 4.8698 4.8698 4.8698
angles (deg): 60.00 60.00 60.00
With the nearest neighbours (Å) after each atom.
Positions (direct):
1 As 0.2500 0.2500 0.2500  4 Te 2.98, 4 Cl 2.98
2 Te 0.5000 0.5000 0.5000  4 As 2.98
3 Cl 0.0000 0.0000 0.0000  4 As 2.98


# 19
Entry from Alexandria: a relaxed Sc3TlN crystal (PBE-GGA).

Computed properties:
E   -0.4911 Ry/atom
Space-group type   No. 12

a b c (Å): 18.8769 6.1675 7.9260
angles (deg): 90.00 154.43 90.00
With the nearest neighbours (Å) after each atom.
Positions (direct):
1 Sc 0.2501 0.2498 0.7502  2 N 2.21
2 Sc 0.7499 0.7502 0.2498  2 N 2.21
3 Sc 0.2499 0.7498 0.7498  2 N 2.21
4 Sc 0.7501 0.2502 0.2502  2 N 2.21
5 Sc 0.3538 0.4999 0.3372  1 N 2.07
6 Sc 0.6462 0.5001 0.6628  1 N 2.07
7 Sc 0.1462 0.9999 0.1628  1 N 2.07
8 Sc 0.8538 0.0001 0.8372  1 N 2.07
9 Sc 0.5000 0.7631 0.0000  2 N 2.18
10 Sc 0.5000 0.2369 0.0000  2 N 2.18
11 Sc 0.0000 0.2631 0.5000  2 N 2.18
12 Sc 0.0000 0.7369 0.5000  2 N 2.18
13 Tl 0.3616 0.9998 0.3328  5 Sc 2.91-3.26, 1 Tl 3.06
14 Tl 0.6384 0.0002 0.6672  5 Sc 2.91-3.26, 1 Tl 3.06
15 Tl 0.1384 0.4998 0.1672  5 Sc 2.91-3.26, 1 Tl 3.06
16 Tl 0.8616 0.5002 0.8328  5 Sc 2.91-3.26, 1 Tl 3.06
17 N 0.1715 0.4999 0.7643  5 Sc 2.07-2.21
18 N 0.8285 0.5001 0.2357  5 Sc 2.07-2.21
19 N 0.3285 0.9999 0.7357  5 Sc 2.07-2.21
20 N 0.6715 0.0001 0.2643  5 Sc 2.07-2.21


# 20
Entry from Alexandria: a relaxed TmBi2S4 crystal (PBE-GGA).

Computed properties:
Energy relative to the lowest polymorph listed for this composition   7.1 meV per atom
E   -0.3628 Ry/atom
Space-group type   No. 63

a b c (Å): 3.6945 7.4879 13.0735
angles (deg): 90.00 90.00 104.28
With the nearest neighbours (Å) after each atom.
Positions (direct):
1 Tm 0.6140 0.2281 0.7500  6 S 2.69-2.77
2 Tm 0.3860 0.7719 0.2500  6 S 2.69-2.77
3 Bi 0.1310 0.2620 0.4278  4 S 2.76-2.83
4 Bi 0.8690 0.7380 0.9278  4 S 2.76-2.83
5 Bi 0.1310 0.2620 0.0722  4 S 2.76-2.83
6 Bi 0.8690 0.7380 0.5722  4 S 2.76-2.83
7 S 0.7993 0.5986 0.1242  1 Bi 2.76, 2 Tm 2.77
8 S 0.7993 0.5986 0.3758  1 Bi 2.76, 2 Tm 2.77
9 S 0.2007 0.4014 0.8758  1 Bi 2.76, 2 Tm 2.77
10 S 0.2007 0.4014 0.6242  1 Bi 2.76, 2 Tm 2.77
11 S 0.9796 0.9593 0.7500  2 Tm 2.69, 2 Bi 2.83
12 S 0.0204 0.0407 0.2500  2 Tm 2.69, 2 Bi 2.83
13 S 0.5000 0.0000 0.0000  4 Bi 2.81
14 S 0.5000 0.0000 0.5000  4 Bi 2.81


# 21
Entry from Alexandria: a relaxed Y2TaNi2 crystal (PBE-GGA).

Computed properties:
Energy relative to the lowest polymorph listed for this composition   341.8 meV per atom
ΔE_f   0.193 eV/atom
E   -0.5200 Ry/atom
Space-group type   No. 139

a b c (Å): 3.3226 3.3226 9.4817
angles (deg): 79.91 79.91 90.00
With the nearest neighbours (Å) after each atom.
Positions (direct):
1 Y 0.3770 0.3770 0.2459  4 Ni 2.86
2 Y 0.6230 0.6230 0.7541  4 Ni 2.86
3 Ni 0.7500 0.2500 0.5000  4 Ni 2.35
4 Ni 0.2500 0.7500 0.5000  4 Ni 2.35
5 Ta 0.0000 0.0000 0.0000  8 Y 3.26, 4 Ta 3.32


# 22
Entry from Alexandria: a relaxed LaSiGe2B crystal (PBE-GGA).

Computed properties:
Energy relative to the lowest polymorph listed for this composition   1726.4 meV per atom
E   -0.2426 Ry/atom
Space-group type   No. 123

a b c (Å): 5.6630 5.5607 5.6630
angles (deg): 90.00 90.00 90.00
With the nearest neighbours (Å) after each atom.
Positions (direct):
1 Ge 0.0000 0.0000 0.5000  2 La 2.83
2 Ge 0.5000 0.0000 0.0000  2 La 2.83
3 B 0.5000 0.5000 0.5000  8 Ge 3.97, 4 Si 4.00
4 Si 0.0000 0.5000 0.0000  2 La 2.78
5 La 0.0000 0.0000 0.0000  2 Si 2.78, 4 Ge 2.83


Results for D(E_F): 3.446, 3.502, 1.734, 2.514, 5.507, 4.411, 3.073, 2.968, 8.652, 5.784, 12.843, 0.000, 4.025, 5.978, 5.271, 7.668, 10.236, 1.209, 19.321, 3.297, 5.844, 5.297 (in states/eV/cell, following the order of the records).